DFT (GGA-PBEsol) results for a relaxed structure of K2OsRu.

The space group is Pm (No. 6) and the conventional cell measures 2.766, 3.894 and 10.045 Å, with angles of 90.00, 90.40 and 90.00 degrees. The distinct sites, in fractional coordinates, are K at (0.000, 0.000, 0.000), K at (0.498, 0.500, 0.573), Os at (0.502, 0.500, 0.245) and Ru at (0.002, 0.000, 0.327).

The density of states at the Fermi level is 0.80 states/eV/atom. The energy above the lowest structure with this stoichiometry is 0.000 eV/atom. The volume is 108 Å³/cell.

DFT (GGA-PBEsol) results for a relaxed structure of Mg2CoReB.

The space group is P4/mmm (No. 123) and the conventional cell measures 4.977, 4.977 and 3.967 Å, with angles of 90.00, 90.00 and 90.00 degrees. The distinct sites, in fractional coordinates, are Mg at (0.000, 0.500, 0.000), Co at (0.000, 0.000, 0.500), Re at (0.500, 0.500, 0.000) and B at (0.500, 0.500, 0.500).

The density of states at the Fermi level is 1.23 states/eV/atom. The volume is 98 Å³/cell.

DFT (GGA-PBEsol) results for a relaxed structure of Li2CoSiO4.

The space group is P2_1 (No. 4) and the conventional cell measures 5.302, 4.922 and 6.220 Å, with angles of 90.00, 90.44 and 90.00 degrees. The distinct sites, in fractional coordinates, are Li at (0.160, 0.000, 0.265), Li at (0.337, 0.502, 0.500), Co at (0.328, 0.499, 0.006), Si at (0.171, 0.006, 0.744), O at (0.123, 0.400, 0.248), O at (0.179, 0.341, 0.753), O at (0.315, 0.893, 0.534) and O at (0.315, 0.901, 0.972).

For the uncorrected formation energy, the calculation gives -2.047 eV per atom. The energy above the lowest structure with this stoichiometry is 0.006 eV/atom. The volume is 162 Å³/cell.

DFT (GGA-PBEsol) results for a relaxed structure of CrAgSnN2.

The space group is P4/mmm (No. 123) and the conventional cell measures 3.971, 3.971 and 5.542 Å, with angles of 90.00, 90.00 and 90.00 degrees. The distinct sites, in fractional coordinates, are Cr at (0.000, 0.000, 0.000), Ag at (0.500, 0.500, 0.500), Sn at (0.500, 0.500, 0.000) and N at (0.000, 0.500, 0.500).

For the uncorrected formation energy, the calculation gives 1.984 eV per atom. The density of states at the Fermi level is 0.77 states/eV/atom. The volume is 87 Å³/cell.

DFT (GGA-PBEsol) results for a relaxed structure of MnAs2W.

The space group is P4/mmm (No. 123) and the conventional cell measures 3.026, 3.026 and 5.984 Å, with angles of 90.00, 90.00 and 90.00 degrees. The distinct sites, in fractional coordinates, are Mn at (0.000, 0.000, 0.000), As at (0.500, 0.500, 0.239) and W at (0.000, 0.000, 0.500).

The density of states at the Fermi level is 0.87 states/eV/atom. The energy above the lowest structure with this stoichiometry is 0.000 eV/atom. The volume is 55 Å³/cell.

DFT (GGA-PBEsol) results for a relaxed structure of LaCd20Ni2.

The space group is Fd-3m (No. 227, origin choice 2) and the conventional cell measures 15.463, 15.463 and 15.463 Å, with angles of 90.00, 90.00 and 90.00 degrees. The distinct sites, in fractional coordinates, are La at (0.125, 0.125, 0.125), Cd at (0.000, 0.000, 0.000), Cd at (0.011, 0.375, 0.875), Cd at (0.059, 0.059, 0.325) and Ni at (0.000, 0.000, 0.500).

The density of states at the Fermi level is 0.34 states/eV/atom. The volume is 3698 Å³/cell.

DFT (GGA-PBEsol) results for a relaxed structure of Li3PrBi2.

The space group is P-3m1 (No. 164) and the conventional cell measures 4.6648, 4.6648 and 7.3809 Å, with angles of 90.00, 90.00 and 120.00 degrees. The distinct sites, in fractional coordinates, are Li at (0.0000, 0.0000, 0.0000), Li at (0.3333, 0.6667, 0.8498), Pr at (0.0000, 0.0000, 0.5000) and Bi at (0.3333, 0.6667, 0.2455).

The density of states at the Fermi level is 0.07 states/eV/atom. The volume is 139 Å³/cell.

DFT (GGA-PBEsol) results for a relaxed structure of MnSb2PI.

The space group is P4/mmm (No. 123) and the conventional cell measures 5.169, 5.169 and 5.294 Å, with angles of 90.00, 90.00 and 90.00 degrees. The distinct sites, in fractional coordinates, are Mn at (0.000, 0.000, 0.000), Sb at (0.000, 0.500, 0.500), P at (0.500, 0.500, 0.500) and I at (0.500, 0.500, 0.000).

For the uncorrected formation energy, the calculation gives 0.896 eV per atom. The density of states at the Fermi level is 0.81 states/eV/atom. The energy above the lowest structure with this stoichiometry is 0.144 eV/atom. The volume is 141 Å³/cell.

DFT (GGA-PBEsol) results for a relaxed structure of LiZrCr.

The space group is Fmm2 (No. 42) and the conventional cell measures 3.204, 4.560 and 13.750 Å, with angles of 90.00, 90.00 and 90.00 degrees. The distinct sites, in fractional coordinates, are Li at (0.000, 0.000, 0.000), Zr at (0.000, 0.000, 0.699) and Cr at (0.000, 0.000, 0.343).

The density of states at the Fermi level is 1.02 states/eV/atom. The energy above the lowest structure with this stoichiometry is 0.053 eV/atom. The volume is 201 Å³/cell.

DFT (GGA-PBEsol) results for a relaxed structure of Tc2PtCl.

The space group is P4/mmm (No. 123) and the conventional cell measures 2.924, 2.924 and 6.512 Å, with angles of 90.00, 90.00 and 90.00 degrees. The distinct sites, in fractional coordinates, are Tc at (0.000, 0.000, 0.232), Pt at (0.500, 0.500, 0.500) and Cl at (0.500, 0.500, 0.000).

For the uncorrected formation energy, the calculation gives 0.464 eV per atom. The density of states at the Fermi level is 1.23 states/eV/atom. The energy above the lowest structure with this stoichiometry is 0.196 eV/atom. The volume is 56 Å³/cell.

Calculated energy in order - -0.199; -0.176; -0.252; -0.183; -0.304; -0.071; -0.147; -0.161; -0.241; -0.272 Ha/atom